No. 1
## TbPmY2 (PBE)

Data for crystalline TbPmY2 at its relaxed geometry.

Cell lengths 3.664, 6.797, 7.301 Å; angles 122.52, 120.09, 74.37 degrees
Element x y z (fractional)
Pm (0.333, 0.135, 0.958)
Y (0.667, 0.633, 0.542)
Y (0.334, 0.133, 0.458)
Tb (0.667, 0.635, 0.043)

Output
energy above the lowest structure with this stoichiometry = 0 meV/atom
SG = Cm (8)
uncorrected energy = -22.3 eV for the cell shown


No. 2
## Hf2TiRh3 (PBE)

Data for crystalline Hf2TiRh3 at its relaxed geometry.

Cell lengths 3.177, 3.177, 9.898 Å; angles 90.00, 90.00, 90.00 degrees
Element x y z (fractional)
Hf (0.500, 0.500, 0.827)
Hf (0.500, 0.500, 0.173)
Rh (0.000, 0.000, 0.346)
Rh (0.000, 0.000, 0.000)
Rh (0.000, 0.000, 0.654)
Ti (0.500, 0.500, 0.500)

Output
energy above the lowest structure with this stoichiometry = 0 meV/atom
SG = P4/mmm (123)
uncorrected energy = -54.7 eV for the cell shown


No. 3
## Li2LaY (PBE)

Data for crystalline Li2LaY at its relaxed geometry.

Cell lengths 3.711, 3.712, 8.030 Å; angles 90.00, 90.00, 90.00 degrees
Element x y z (fractional)
Li (0.000, 0.000, 0.952)
Li (0.500, 0.500, 0.786)
Y (0.000, 0.000, 0.533)
La (0.500, 0.500, 0.229)

Output
energy above the lowest structure with this stoichiometry = 0 meV/atom
SG = P4mm (99)
uncorrected energy = -15.0 eV for the cell shown


No. 4
## RbHoMgSe3 (PBE)

Data for crystalline RbHoMgSe3 at its relaxed geometry.

Cell lengths 4.260, 9.325, 10.264 Å; angles 109.30, 90.00, 90.00 degrees
Element x y z (fractional)
Ho (0.750, 0.333, 0.868)
Ho (0.250, 0.667, 0.132)
Rb (0.250, 0.213, 0.233)
Rb (0.750, 0.787, 0.767)
Se (0.750, 0.879, 0.134)
Se (0.250, 0.796, 0.454)
Se (0.750, 0.204, 0.546)
Se (0.750, 0.470, 0.155)
Se (0.250, 0.121, 0.866)
Se (0.250, 0.530, 0.845)
Mg (0.250, 0.086, 0.612)
Mg (0.750, 0.914, 0.388)

Output
raw formation energy = -9.330 eV/f.u.
SG = P2_1/m (11)
uncorrected energy = -53.8 eV for the cell shown


No. 5
## GeMo2H (PBE)

Data for crystalline GeMo2H at its relaxed geometry.

Cell lengths 5.965, 5.965, 5.091 Å; angles 54.14, 54.14, 90.00 degrees
Element x y z (fractional)
H (0.250, 0.750, 0.500)
H (0.500, 0.500, 0.000)
Ge (0.750, 0.250, 0.500)
Ge (0.000, 0.000, 0.000)
Mo (0.875, 0.776, 0.750)
Mo (0.526, 0.125, 0.250)
Mo (0.375, 0.474, 0.750)
Mo (0.224, 0.625, 0.250)

Output
energy above the lowest structure with this stoichiometry = 0 meV/atom
SG = I-42d (122)
uncorrected energy = -58.1 eV for the cell shown


No. 6
## Nb2NiHg2 (PBE)

Data for crystalline Nb2NiHg2 at its relaxed geometry.

Cell lengths 3.878, 3.878, 7.509 Å; angles 75.03, 75.03, 90.00 degrees
Last column: magnetic moment on the atom in μB.
Element x y z (fractional)
Hg (0.750, 0.250, 0.500)  0.00
Hg (0.250, 0.750, 0.500)  0.00
Nb (0.419, 0.419, 0.162)  0.10
Nb (0.581, 0.581, 0.838)  0.10
Ni (0.000, 0.000, 0.000)  0.23

Output
energy above the lowest structure with this stoichiometry = 296 meV/atom
SG = I4/mmm (139)
uncorrected energy = -22.6 eV for the cell shown


No. 7
## Ba6Ru2PtCl2O12 (PBE)

Data for crystalline Ba6Ru2PtCl2O12 at its relaxed geometry.

Cell lengths 5.907, 5.907, 15.292 Å; angles 90.00, 90.00, 120.00 degrees
Last column: magnetic moment on the atom in μB.
Element x y z (fractional)
O (0.303, 0.151, 0.087)  0.04
O (0.839, 0.161, 0.756)  0.21
O (0.151, 0.303, 0.913)  0.04
O (0.151, 0.849, 0.913)  0.04
O (0.161, 0.323, 0.244)  0.21
O (0.849, 0.151, 0.087)  0.04
O (0.849, 0.697, 0.087)  0.04
O (0.161, 0.839, 0.244)  0.21
O (0.697, 0.849, 0.913)  0.04
O (0.323, 0.161, 0.756)  0.21
O (0.677, 0.839, 0.244)  0.21
O (0.839, 0.677, 0.756)  0.21
Ba (0.333, 0.667, 0.083)  0.01
Ba (0.667, 0.333, 0.917)  0.01
Ba (0.333, 0.667, 0.786)  0.01
Ba (0.667, 0.333, 0.634)  0.02
Ba (0.667, 0.333, 0.214)  0.01
Ba (0.333, 0.667, 0.366)  0.02
Ru (0.000, 0.000, 0.182)  1.85
Ru (0.000, 0.000, 0.818)  1.85
Pt (0.000, 0.000, 0.000)  0.07
Cl (0.667, 0.333, 0.423)  0.01
Cl (0.333, 0.667, 0.577)  0.01

Output
raw formation energy = -45.160 eV/f.u.
SG = P-3m1 (164)
uncorrected energy = -144.5 eV for the cell shown


No. 8
## Ba2HfOs (PBE)

Data for crystalline Ba2HfOs at its relaxed geometry.

Cell lengths 4.444, 4.444, 27.937 Å; angles 90.00, 90.00, 120.00 degrees
Element x y z (fractional)
Ba (0.667, 0.333, 0.363)
Ba (0.333, 0.667, 0.516)
Ba (0.667, 0.333, 0.183)
Ba (0.333, 0.667, 0.697)
Ba (0.000, 0.000, 0.849)
Ba (0.000, 0.000, 0.030)
Hf (0.667, 0.333, 0.606)
Hf (0.000, 0.000, 0.273)
Hf (0.333, 0.667, 0.940)
Os (0.333, 0.667, 0.273)
Os (0.667, 0.333, 0.940)
Os (0.000, 0.000, 0.607)

Output
energy above the lowest structure with this stoichiometry = 0 meV/atom
SG = R3m (160)
uncorrected energy = -72.8 eV for the cell shown